This record from the Alexandria database describes a relaxed structure of Hf4NiP. The functional is PBE-GGA.

- VASP energy (eV/atom) = -8.933
- energy above the lowest structure with this stoichiometry (kcal/mol of atoms) = 4.94
- formation energy from the elements (eV per atom) = -0.432

Lattice parameters (Å, degrees): 6.4348 6.4348 10.7984 90.00 90.00 90.00
Closest atoms and distances in Å follow each position.
Space group I4/mcm (No. 140)
Unique sites:
Hf 0.1635 0.3365 0.1373 (multiplicity 16)  2 Ni 2.70, 2 P 2.83, 3 Hf 2.90-2.98
Ni 0.0000 0.0000 0.2500 (multiplicity 4)  8 Hf 2.70, 2 P 2.70
P 0.0000 0.0000 0.0000 (multiplicity 4)  2 Ni 2.70, 8 Hf 2.83

=====

This record from the Alexandria database describes a relaxed structure of Hf2NiP2. The functional is PBE-GGA.

- VASP energy (eV/atom) = -7.845
- formation energy from the elements (eV per atom) = -0.544

Lattice parameters (Å, degrees): 7.0320 7.0320 3.4448 90.00 90.00 90.00
Closest atoms and distances in Å follow each position.
Space group P4/mbm (No. 127)
Unique sites:
Hf 0.1594 0.3406 0.0000 (multiplicity 4)  6 P 2.60-2.75, 2 Ni 2.64
Ni 0.0000 0.0000 0.0000 (multiplicity 2)  4 Hf 2.64
P 0.1449 0.6449 0.5000 (multiplicity 4)  6 Hf 2.60-2.75, 1 P 2.88

=====

This record from the Alexandria database describes a relaxed structure of HfNi4P2. The functional is PBE-GGA.

- VASP energy (eV/atom) = -7.040
- energy above the lowest structure with this stoichiometry (kcal/mol of atoms) = 0.00
- formation energy from the elements (eV per atom) = -0.769

Lattice parameters (Å, degrees): 6.9305 6.9305 3.5597 90.00 90.00 90.00
Closest atoms and distances in Å follow each position.
Space group P4_2/mnm (No. 136)
Unique sites:
Hf 0.0000 0.0000 0.0000 (multiplicity 2)  6 P 2.75-2.79, 8 Ni 2.96
Ni 0.0830 0.3318 0.5000 (multiplicity 8)  3 P 2.24-2.27, 1 Ni 2.44
P 0.2193 0.7807 0.5000 (multiplicity 4)  6 Ni 2.24-2.27

=====

This record from the Alexandria database describes a relaxed structure of Hf2Ni3P3. The functional is PBE-GGA.

- VASP energy (eV/atom) = -7.685
- formation energy from the elements (eV per atom) = -1.000

Lattice parameters (Å, degrees): 12.3002 3.6084 9.9997 90.00 90.00 90.00
Closest atoms and distances in Å follow each position.
Space group Pnma (No. 62)
Unique sites:
Hf 0.0047 0.2500 0.1641 (multiplicity 4)  6 P 2.59-2.72, 3 Ni 2.74-2.89
Hf 0.2099 0.7500 0.5737 (multiplicity 4)  6 P 2.71-2.85, 5 Ni 2.90-2.98
Ni 0.0175 0.2500 0.5954 (multiplicity 4)  4 P 2.24-2.33
Ni 0.1654 0.7500 0.2742 (multiplicity 4)  4 P 2.25-2.34, 2 Ni 2.49
Ni 0.2168 0.7500 0.8650 (multiplicity 4)  4 P 2.19-2.26
P 0.1021 0.2500 0.3972 (multiplicity 4)  6 Ni 2.24-2.33
P 0.1268 0.7500 0.0540 (multiplicity 4)  2 Ni 2.19-2.25
P 0.1442 0.2500 0.7618 (multiplicity 4)  4 Ni 2.26-2.34

=====

This record from the Alexandria database describes a relaxed structure of Hf3NiP. The functional is PBE-GGA.

- VASP energy (eV/atom) = -8.697
- energy above the lowest structure with this stoichiometry (kcal/mol of atoms) = 0.00
- formation energy from the elements (eV per atom) = -0.486

Lattice parameters (Å, degrees): 7.0698 6.4766 9.7240 90.00 124.03 90.00
Closest atoms and distances in Å follow each position.
Space group P2_1/c (No. 14)
Unique sites:
Hf 0.0395 0.1227 0.2297 (multiplicity 4)  2 Ni 2.53-2.61, 2 P 2.58-2.72
Hf 0.3267 0.1350 0.0521 (multiplicity 4)  3 P 2.63-2.87, 2 Ni 2.80-2.92
Hf 0.3950 0.6280 0.0651 (multiplicity 4)  1 Ni 2.56, 2 P 2.68-2.73
Ni 0.2450 0.6915 0.7205 (multiplicity 4)  1 P 2.47, 3 Hf 2.53-2.61
P 0.2912 0.0699 0.7568 (multiplicity 4)  1 Ni 2.47, 5 Hf 2.58-2.73

=====

This record from the Alexandria database describes a relaxed structure of HfNi2P. The functional is PBE-GGA.

- VASP energy (eV/atom) = -7.134
- formation energy from the elements (eV per atom) = -0.402

Lattice parameters (Å, degrees): 3.7497 3.7497 16.6051 90.00 90.00 90.00
Closest atoms and distances in Å follow each position.
Space group I-42d (No. 122)
Unique sites:
Hf 0.0000 0.0000 0.0000 (multiplicity 4)  4 Ni 2.53, 4 P 2.65
Ni 0.2056 0.2500 0.6250 (multiplicity 8)  2 P 2.40, 2 Ni 2.43, 2 Hf 2.53
P 0.0000 0.0000 0.5000 (multiplicity 4)  4 Ni 2.40, 4 Hf 2.65